[1]
Compound: Cu2AgIr
Source: Alexandria via LeMat-Bulk
Functional: PBE-GGA
Structure: relaxed

Computed properties:
The value obtained for the calculated volume is 14.23 Å³/atom. The polymorph energy (0 for the lowest one) comes out at 0.00 eV per formula unit. The value obtained for the formation energy from the elements is 0.6 eV/f.u. The total moment comes out at 0.2 μB per formula unit. Its energy is -4.825 eV/atom.

Cell: 2.7233 2.7233 26.5952 Å, 90.00 90.00 120.00°
Closest atoms and distances in Å follow each position.
Space group R-3m (No. 166, hexagonal axes)
One atom of each set of equivalent atoms:
Cu  0.0000  0.0000  0.2473 [6 per cell]  3 Ir 2.66, 6 Cu 2.72, 3 Ag 2.78
Ag  0.0000  0.0000  0.0000 [3 per cell]  6 Ag 2.72, 6 Cu 2.78
Ir  0.0000  0.0000  0.5000 [3 per cell]  6 Cu 2.66, 6 Ir 2.72



[2]
Compound: CuAgIr2
Source: Alexandria via LeMat-Bulk
Functional: PBE-GGA
Structure: relaxed

Computed properties:
The value obtained for the calculated volume is 14.94 Å³/atom. The polymorph energy (0 for the lowest one) comes out at 0.46 eV per formula unit. The value obtained for the formation energy from the elements is 1.1 eV/f.u. The total moment comes out at 0.0 μB per formula unit. Its energy is -5.900 eV/atom.

Cell: 8.9454 2.7745 4.8876 Å, 90.00 99.88 90.00°
Closest atoms and distances in Å follow each position.
Space group Cm (No. 8)
One atom of each set of equivalent atoms:
Cu  0.0000  0.0000  0.0000 [2 per cell]  3 Ag 2.57-2.69, 4 Ir 2.69-2.78, 2 Cu 2.77
Ag  0.2527  0.5000  0.2028 [2 per cell]  3 Cu 2.57-2.69, 2 Ag 2.77, 4 Ir 2.80-2.82
Ir  0.0122  0.5000  0.5318 [2 per cell]  5 Ir 2.56-2.77, 2 Cu 2.69
Ir  0.2565  0.0000  0.7014 [2 per cell]  5 Ir 2.56-2.77, 2 Cu 2.78, 4 Ag 2.80-2.82